Entry from Alexandria via LeMat-Bulk: RbTb4YSe8 after structural relaxation (PBE-GGA).

VASP energy: -5.57 eV/atom
DOS(E_F): 0.0000 states/eV per atom
Calculated density: 5.20 Mg/m³

Unit cell a=8.6698 b=8.6698 c=21.2204 alpha=90.00 beta=90.00 gamma=120.00
Last column: nearest neighbours and their distance in Å.
Space group R3m (No. 160, hexagonal axes)
One atom of each set of equivalent atoms:
Rb 0.0000 0.0000 0.0000  4 Se 3.03
Tb 0.0000 0.0000 0.2501  4 Se 2.81
Tb 0.1730 0.3459 0.4568  6 Se 2.80-3.04
Y 0.0000 0.0000 0.6298  6 Se 2.79-3.03
Se 0.0000 0.0000 0.3823  4 Tb 2.81-3.04
Se 0.0000 0.0000 0.8573  3 Tb 2.80, 1 Rb 3.03
Se 0.0474 0.5237 0.3808  1 Y 2.79, 2 Tb 2.80, 1 Rb 3.03
Se 0.1766 0.3533 0.2062  3 Tb 2.81-3.04, 1 Y 3.03